# 1
LiAc2AlS5 | PBE-GGA | relaxed

a = 4.048 Å, b = 8.921 Å, c = 11.759 Å
α = 90.00°, β = 90.00°, γ = 103.11°
Sites, in units of the cell vectors:
Li (0.786, 0.571, 0.520)
Li (0.214, 0.429, 0.020)
Ac (0.868, 0.737, 0.807)
Ac (0.125, 0.249, 0.686)
Ac (0.132, 0.263, 0.307)
Ac (0.875, 0.751, 0.186)
Al (0.570, 0.140, 0.952)
Al (0.430, 0.860, 0.452)
S (0.356, 0.712, 0.002)
S (0.686, 0.372, 0.865)
S (0.503, 0.006, 0.784)
S (0.296, 0.592, 0.662)
S (0.955, 0.911, 0.546)
S (0.644, 0.288, 0.502)
S (0.314, 0.628, 0.365)
S (0.497, 0.994, 0.284)
S (0.704, 0.408, 0.162)
S (0.045, 0.089, 0.046)

Computed properties:
SG = Cmc2_1, No. 36
Magnetization = 0.00 μB per formula unit
Final energy = -5.5927 eV per atom
ΔE_f (raw) = -1.758 eV per atom

---

# 2
LiAcScAl | PBE-GGA | relaxed

a = 5.277 Å, b = 5.277 Å, c = 5.277 Å
α = 60.00°, β = 60.00°, γ = 60.00°
Sites, in units of the cell vectors:
Sc (0.250, 0.250, 0.250)
Ac (0.750, 0.750, 0.750)
Al (0.000, 0.000, 0.000)
Li (0.500, 0.500, 0.500)

Computed properties:
SG = F-43m, No. 216
Energy of formation = -0.0853 eV/atom
Magnetization = 0.00 μB per formula unit
Final energy = -4.1094 eV per atom

---

# 3
Li2AcAlSe4 | PBE-GGA | relaxed

a = 8.501 Å, b = 8.521 Å, c = 9.280 Å
α = 124.96°, β = 125.02°, γ = 82.34°
Sites, in units of the cell vectors:
Li (0.501, 0.017, 0.923)
Li (0.485, 0.999, 0.578)
Li (0.949, 0.983, 0.547)
Li (0.516, 0.547, 0.952)
Ac (0.990, 0.512, 0.010)
Ac (0.991, 0.512, 0.492)
Al (0.502, 0.374, 0.482)
Al (0.125, 0.998, 0.017)
Se (0.269, 0.727, 0.007)
Se (0.776, 0.233, 0.495)
Se (0.194, 0.802, 0.502)
Se (0.701, 0.306, 0.999)
Se (0.641, 0.683, 0.842)
Se (0.815, 0.856, 0.656)
Se (0.228, 0.180, 0.394)
Se (0.319, 0.271, 0.105)

Computed properties:
SG = P1, No. 1
Magnetization = 0.00 μB per formula unit
Final energy = -4.5053 eV per atom
ΔE_f (raw) = -1.303 eV per atom

---

# 4
LiAc2Al4Si3 | PBE-GGA | relaxed

a = 4.287 Å, b = 4.287 Å, c = 11.381 Å
α = 90.00°, β = 90.00°, γ = 90.00°
Sites, in units of the cell vectors:
Li (0.500, 0.500, 0.500)
Ac (0.500, 0.000, 0.248)
Ac (0.000, 0.500, 0.752)
Al (0.500, 0.500, 0.000)
Al (0.000, 0.000, 0.000)
Al (0.500, 0.000, 0.631)
Al (0.000, 0.500, 0.369)
Si (0.000, 0.000, 0.500)
Si (0.500, 0.000, 0.865)
Si (0.000, 0.500, 0.135)

Computed properties:
SG = P-4m2, No. 115
Magnetization = 0.00 μB per formula unit
Final energy = -4.4386 eV per atom
ΔE_f (raw) = -0.302 eV per atom